--- w ---
# Tb2Dy7 PBE optimized geometry
data_Tb2Dy7
_chemical_formula_sum 'Tb2 Dy7'
_cell_length_a 3.529
_cell_length_b 9.637
_cell_length_c 9.637
_cell_angle_alpha 120.00
_cell_angle_beta 90.00
_cell_angle_gamma 90.00
_symmetry_space_group_name_H-M 'P 1'
_symmetry_Int_Tables_number 1
loop_
_symmetry_equiv_pos_as_xyz
'x,y,z'
loop_
_atom_site_label
_atom_site_type_symbol
_atom_site_fract_x
_atom_site_fract_y
_atom_site_fract_z
Tb1 Tb 0.000 0.667 0.333
Tb2 Tb 0.000 0.333 0.667
Dy1 Dy 0.500 0.640 0.000
Dy2 Dy 0.500 0.000 0.640
Dy3 Dy 0.500 0.360 0.360
Dy4 Dy 0.000 0.304 0.000
Dy5 Dy 0.000 0.000 0.304
Dy6 Dy 0.000 0.696 0.696
Dy7 Dy 0.500 0.000 0.000
# Calculated volume = 283.79 Å³ per cell
# Size of the total moment = 0.42 μB/cell
# Density of states at the Fermi level = 16.80 states/eV/cell

=====

--- x ---
# Tb2Dy7 PBE optimized geometry
data_Tb2Dy7
_chemical_formula_sum 'Tb2 Dy7'
_cell_length_a 6.128
_cell_length_b 6.128
_cell_length_c 8.657
_cell_angle_alpha 90.00
_cell_angle_beta 90.00
_cell_angle_gamma 120.00
_symmetry_space_group_name_H-M 'P 1'
_symmetry_Int_Tables_number 1
loop_
_symmetry_equiv_pos_as_xyz
'x,y,z'
loop_
_atom_site_label
_atom_site_type_symbol
_atom_site_fract_x
_atom_site_fract_y
_atom_site_fract_z
Tb1 Tb 0.333 0.667 0.000
Tb2 Tb 0.667 0.333 0.000
Dy1 Dy 0.000 0.000 0.000
Dy2 Dy 0.667 0.000 0.334
Dy3 Dy 0.000 0.667 0.334
Dy4 Dy 0.333 0.333 0.334
Dy5 Dy 0.000 0.333 0.666
Dy6 Dy 0.333 0.000 0.666
Dy7 Dy 0.667 0.667 0.666
# Calculated volume = 281.56 Å³ per cell
# Size of the total moment = 0.00 μB/cell
# Density of states at the Fermi level = 12.49 states/eV/cell

=====

Most stable to least stable, the ends of the list are x and w.

=====

--- w ---
# TbDy3 PBE optimized geometry
data_TbDy3
_chemical_formula_sum 'Tb1 Dy3'
_cell_length_a 3.620
_cell_length_b 5.621
_cell_length_c 6.268
_cell_angle_alpha 90.00
_cell_angle_beta 90.00
_cell_angle_gamma 90.00
_symmetry_space_group_name_H-M 'P 1'
_symmetry_Int_Tables_number 1
loop_
_symmetry_equiv_pos_as_xyz
'x,y,z'
loop_
_atom_site_label
_atom_site_type_symbol
_atom_site_fract_x
_atom_site_fract_y
_atom_site_fract_z
Tb1 Tb 0.000 0.000 0.000
Dy1 Dy 0.000 0.500 0.333
Dy2 Dy 0.500 0.000 0.500
Dy3 Dy 0.500 0.500 0.833
# Calculated volume = 127.54 Å³ per cell
# Size of the total moment = 0.00 μB/cell
# Density of states at the Fermi level = 6.58 states/eV/cell

=====

--- x ---
# TbDy3 PBE optimized geometry
data_TbDy3
_chemical_formula_sum 'Tb1 Dy3'
_cell_length_a 5.007
_cell_length_b 5.007
_cell_length_c 5.007
_cell_angle_alpha 90.00
_cell_angle_beta 90.00
_cell_angle_gamma 90.00
_symmetry_space_group_name_H-M 'P 1'
_symmetry_Int_Tables_number 1
loop_
_symmetry_equiv_pos_as_xyz
'x,y,z'
loop_
_atom_site_label
_atom_site_type_symbol
_atom_site_fract_x
_atom_site_fract_y
_atom_site_fract_z
Tb1 Tb 0.000 0.000 0.000
Dy1 Dy 0.000 0.500 0.500
Dy2 Dy 0.500 0.000 0.500
Dy3 Dy 0.500 0.500 0.000
# Calculated volume = 125.49 Å³ per cell
# Size of the total moment = 0.00 μB/cell
# Density of states at the Fermi level = 6.04 states/eV/cell

=====

Most stable to least stable, the ends of the list are w and x.

=====

--- w ---
# TbDy3 PBE optimized geometry
data_TbDy3
_chemical_formula_sum 'Tb1 Dy3'
_cell_length_a 3.617
_cell_length_b 6.250
_cell_length_c 6.696
_cell_angle_alpha 117.82
_cell_angle_beta 105.67
_cell_angle_gamma 90.00
_symmetry_space_group_name_H-M 'P 1'
_symmetry_Int_Tables_number 1
loop_
_symmetry_equiv_pos_as_xyz
'x,y,z'
loop_
_atom_site_label
_atom_site_type_symbol
_atom_site_fract_x
_atom_site_fract_y
_atom_site_fract_z
Tb1 Tb 0.000 0.000 0.000
Dy1 Dy 0.250 0.583 0.500
Dy2 Dy 0.500 0.501 0.000
Dy3 Dy 0.750 0.083 0.500
# Calculated volume = 127.47 Å³ per cell
# Size of the total moment = 0.00 μB/cell
# Density of states at the Fermi level = 7.03 states/eV/cell

=====

--- x ---
# TbDy3 PBE optimized geometry
data_TbDy3
_chemical_formula_sum 'Tb1 Dy3'
_cell_length_a 5.002
_cell_length_b 5.002
_cell_length_c 6.131
_cell_angle_alpha 114.07
_cell_angle_beta 114.07
_cell_angle_gamma 90.00
_symmetry_space_group_name_H-M 'P 1'
_symmetry_Int_Tables_number 1
loop_
_symmetry_equiv_pos_as_xyz
'x,y,z'
loop_
_atom_site_label
_atom_site_type_symbol
_atom_site_fract_x
_atom_site_fract_y
_atom_site_fract_z
Tb1 Tb 0.000 0.000 0.000
Dy1 Dy 0.750 0.250 0.500
Dy2 Dy 0.250 0.750 0.500
Dy3 Dy 0.500 0.500 0.000
# Calculated volume = 125.29 Å³ per cell
# Size of the total moment = 0.00 μB/cell
# Density of states at the Fermi level = 5.55 states/eV/cell

=====

--- y ---
# TbDy3 PBE optimized geometry
data_TbDy3
_chemical_formula_sum 'Tb1 Dy3'
_cell_length_a 5.648
_cell_length_b 5.648
_cell_length_c 5.648
_cell_angle_alpha 60.00
_cell_angle_beta 60.00
_cell_angle_gamma 60.00
_symmetry_space_group_name_H-M 'P 1'
_symmetry_Int_Tables_number 1
loop_
_symmetry_equiv_pos_as_xyz
'x,y,z'
loop_
_atom_site_label
_atom_site_type_symbol
_atom_site_fract_x
_atom_site_fract_y
_atom_site_fract_z
Tb1 Tb 0.500 0.500 0.500
Dy1 Dy 0.000 0.000 0.000
Dy2 Dy 0.750 0.750 0.750
Dy3 Dy 0.250 0.250 0.250
# Calculated volume = 127.40 Å³ per cell
# Size of the total moment = 0.01 μB/cell
# Density of states at the Fermi level = 10.80 states/eV/cell

=====

Most stable to least stable, the ends of the list are w and y.

=====

--- w ---
# TbDy2 PBE optimized geometry
data_TbDy2
_chemical_formula_sum 'Tb2 Dy4'
_cell_length_a 3.616
_cell_length_b 6.700
_cell_length_c 9.553
_cell_angle_alpha 59.38
_cell_angle_beta 79.09
_cell_angle_gamma 74.35
_symmetry_space_group_name_H-M 'P 1'
_symmetry_Int_Tables_number 1
loop_
_symmetry_equiv_pos_as_xyz
'x,y,z'
loop_
_atom_site_label
_atom_site_type_symbol
_atom_site_fract_x
_atom_site_fract_y
_atom_site_fract_z
Tb1 Tb 0.306 0.749 0.639
Tb2 Tb 0.694 0.251 0.361
Dy1 Dy 0.972 0.751 0.305
Dy2 Dy 0.639 0.750 0.972
Dy3 Dy 0.361 0.250 0.028
Dy4 Dy 0.028 0.249 0.695
# Calculated volume = 191.40 Å³ per cell
# Size of the total moment = 0.00 μB/cell
# Density of states at the Fermi level = 10.71 states/eV/cell

=====

--- x ---
# TbDy2 PBE optimized geometry
data_TbDy2
_chemical_formula_sum 'Tb1 Dy2'
_cell_length_a 3.445
_cell_length_b 5.970
_cell_length_c 5.970
_cell_angle_alpha 57.61
_cell_angle_beta 73.23
_cell_angle_gamma 73.23
_symmetry_space_group_name_H-M 'P 1'
_symmetry_Int_Tables_number 1
loop_
_symmetry_equiv_pos_as_xyz
'x,y,z'
loop_
_atom_site_label
_atom_site_type_symbol
_atom_site_fract_x
_atom_site_fract_y
_atom_site_fract_z
Tb1 Tb 0.000 0.000 0.000
Dy1 Dy 0.189 0.311 0.311
Dy2 Dy 0.811 0.689 0.689
# Calculated volume = 97.87 Å³ per cell
# Size of the total moment = 0.00 μB/cell
# Density of states at the Fermi level = 6.45 states/eV/cell

=====

--- y ---
# TbDy2 PBE optimized geometry
data_TbDy2
_chemical_formula_sum 'Tb1 Dy2'
_cell_length_a 3.538
_cell_length_b 3.538
_cell_length_c 7.925
_cell_angle_alpha 102.90
_cell_angle_beta 102.90
_cell_angle_gamma 90.00
_symmetry_space_group_name_H-M 'P 1'
_symmetry_Int_Tables_number 1
loop_
_symmetry_equiv_pos_as_xyz
'x,y,z'
loop_
_atom_site_label
_atom_site_type_symbol
_atom_site_fract_x
_atom_site_fract_y
_atom_site_fract_z
Tb1 Tb 0.000 0.000 0.000
Dy1 Dy 0.667 0.667 0.334
Dy2 Dy 0.333 0.333 0.666
# Calculated volume = 94.14 Å³ per cell
# Size of the total moment = 0.00 μB/cell
# Density of states at the Fermi level = 3.83 states/eV/cell

=====

Most stable to least stable, the ends of the list are w and x.